# PBE LiCa3Ni, relaxed
# SG: Pm-3m, No. 221
# Formation energy from the elements (eV per atom): -0.014
# N(E_F) (states/eV/f.u.): 2.75
# Energy above the lowest structure with this stoichiometry (eV per atom): 0.0407
# Total moment (μB per formula unit): 0.00
data_LiCa3Ni
_chemical_formula_sum 'Li1 Ca3 Ni1'
_symmetry_space_group_name_H-M 'P 1'
_symmetry_Int_Tables_number 1
_cell_length_a 5.4797
_cell_length_b 5.4797
_cell_length_c 5.4797
_cell_angle_alpha 90.00
_cell_angle_beta 90.00
_cell_angle_gamma 90.00
loop_
_symmetry_equiv_pos_as_xyz
'x,y,z'
loop_
_atom_site_label
_atom_site_type_symbol
_atom_site_fract_x
_atom_site_fract_y
_atom_site_fract_z
Li1 Li 0.5000 0.5000 0.5000
Ca1 Ca 0.5000 0.0000 0.0000
Ca2 Ca 0.0000 0.5000 0.0000
Ca3 Ca 0.0000 0.0000 0.5000
Ni1 Ni 0.0000 0.0000 0.0000